DFT (PBE-GGA) results for a geometry-optimized TiN3Cl structure.

Cell: 3.9924 3.9924 3.9924 Å, 90.00 90.00 90.00°
Last column: nearest neighbours and their distance in Å.
Fractional coordinates of all 5 atoms:
N 0.0000 0.0000 0.5000  2 Ti 2.00
N 0.0000 0.5000 0.0000  2 Ti 2.00
Cl 0.5000 0.5000 0.5000  12 N 2.82
Ti 0.0000 0.0000 0.0000  6 N 2.00
N 0.5000 0.0000 0.0000  2 Ti 2.00

## Properties
The crystal system is cubic. As for the raw total energy: -5.65 eV per atom. Its symmetry is No. 221. Its total moment is 0.000 μB per atom. The density of states at the Fermi level comes out at 3.6 states/eV/cell.


DFT (PBE-GGA) results for a geometry-optimized Tb2PrGa2Ag2 structure.

Cell: 4.6718 4.6718 9.4173 Å, 75.64 75.64 60.00°
Last column: nearest neighbours and their distance in Å.
Fractional coordinates of all 7 atoms:
Tb 0.8731 0.8731 0.3807  3 Ga 3.00, 3 Ag 3.08
Tb 0.1269 0.1269 0.6193  3 Ga 3.00, 3 Ag 3.08
Ga 0.7449 0.7449 0.7653  3 Ag 2.70, 3 Tb 3.00
Pr 0.0000 0.0000 0.0000  6 Ag 3.32, 6 Ga 3.43, 2 Tb 3.44
Ag 0.5950 0.5950 0.2150  3 Ga 2.70
Ag 0.4050 0.4050 0.7850  3 Ga 2.70
Ga 0.2551 0.2551 0.2347  3 Ag 2.70, 3 Tb 3.00

## Properties
The crystal system is trigonal. Its symmetry is No. 166. Its energy of formation is -0.3800 eV per atom. Its total moment is 0.000 μB per atom. The density of states at the Fermi level comes out at 4.5 states/eV/cell.


DFT (PBE-GGA) results for a geometry-optimized Er8Cu2Sn structure.

Cell: 5.2874 7.9672 7.9672 Å, 113.85 98.49 98.49°
Last column: nearest neighbours and their distance in Å.
Fractional coordinates of all 11 atoms:
Cu 0.0000 0.3078 0.6922  8 Er 2.78-3.04
Er 0.5000 0.7577 0.2423  2 Cu 2.78
Cu 0.0000 0.6922 0.3078  8 Er 2.78-3.04
Er 0.9083 0.9201 0.6691  2 Cu 2.87-2.98
Er 0.0917 0.0799 0.3309  2 Cu 2.87-2.98
Er 0.6968 0.3928 0.3928  2 Cu 3.04, 2 Er 3.15-3.24, 1 Sn 3.29
Er 0.0917 0.3309 0.0799  2 Cu 2.87-2.98
Er 0.9083 0.6691 0.9201  2 Cu 2.87-2.98
Er 0.5000 0.2423 0.7577  2 Cu 2.78
Er 0.3032 0.6072 0.6072  2 Cu 3.04, 2 Er 3.15-3.24, 1 Sn 3.29
Sn 0.5000 0.0000 0.0000  12 Er 3.24-3.57

## Properties
The crystal system is monoclinic. Its symmetry is No. 12. Its energy of formation is -0.1385 eV per atom. Its total moment is 0.109 μB per atom. The density of states at the Fermi level comes out at 15.7 states/eV/cell.


DFT (PBE-GGA) results for a geometry-optimized Li2ZnSb structure.

Cell: 9.0896 9.0896 9.0896 Å, 20.83 20.83 20.83°
Last column: nearest neighbours and their distance in Å.
Fractional coordinates of all 4 atoms:
Zn 0.7500 0.7500 0.7500  6 Li 2.98, 6 Zn 3.29
Li 0.5028 0.5028 0.5028  3 Sb 2.87, 3 Zn 2.98
Li 0.9972 0.9972 0.9972  3 Sb 2.87, 3 Zn 2.98
Sb 0.2500 0.2500 0.2500  6 Li 2.87

## Properties
The crystal system is trigonal. As for the raw total energy: -2.44 eV per atom. Its symmetry is No. 166. Its total moment is 0.000 μB per atom. The density of states at the Fermi level comes out at 3.1 states/eV/cell.


Q: The highest total moment belongs to which entry?
A: Er8Cu2Sn